DFT (PBE) results for TmAl3PdPt after structural relaxation.

calculated formation energy = -0.71 eV/atom
total magnetic moment = 0.000 μB/cell
mass density = 8.31 g/cm3
space group = Cmcm, No. 63
DOS at the Fermi energy = 3.51 states/eV/cell
energy = -5.200 eV/atom

a = 6.9345 Å, b = 6.9345 Å, c = 5.6526 Å
α = 90.00°, β = 90.00°, γ = 125.82°
Positions (direct):
Tm 0.2124 0.7876 0.7500
Tm 0.7876 0.2124 0.2500
Al 0.2035 0.2035 0.0000
Al 0.2035 0.2035 0.5000
Al 0.3538 0.6462 0.2500
Al 0.6462 0.3538 0.7500
Al 0.7965 0.7965 0.0000
Al 0.7965 0.7965 0.5000
Pd 0.4282 0.5718 0.7500
Pd 0.5718 0.4282 0.2500
Pt 0.1472 0.8528 0.2500
Pt 0.8528 0.1472 0.7500

=====

DFT (PBE) results for HRu2SeI after structural relaxation.

total magnetic moment = 1.955 μB/cell
mass density = 7.71 g/cm3
space group = P4/mmm, No. 123
DOS at the Fermi energy = 5.80 states/eV/cell
energy = -4.173 eV/atom

a = 4.9940 Å, b = 4.9940 Å, c = 3.5339 Å
α = 90.00°, β = 90.00°, γ = 90.00°
Positions (direct):
H 0.0000 0.0000 0.0000
Ru 0.0000 0.5000 0.5000
Ru 0.5000 0.0000 0.5000
Se 0.5000 0.5000 0.0000
I 0.0000 0.0000 0.5000

=====

DFT (PBE) results for KBe2In after structural relaxation.

calculated formation energy = 1.01 eV/atom
total magnetic moment = 0.000 μB/cell
mass density = 3.33 g/cm3
space group = P4/mmm, No. 123
DOS at the Fermi energy = 1.90 states/eV/cell
energy = -1.813 eV/atom

a = 4.7969 Å, b = 4.7969 Å, c = 3.7212 Å
α = 90.00°, β = 90.00°, γ = 90.00°
Positions (direct):
K 0.0000 0.0000 0.0000
Be 0.0000 0.5000 0.5000
Be 0.5000 0.0000 0.5000
In 0.5000 0.5000 0.0000

=====

DFT (PBE) results for BaBe2N after structural relaxation.

E_form (uncorrected) = 13 kJ/mol of atoms
total magnetic moment = 0.000 μB/cell
mass density = 4.42 g/cm3
space group = I4_1/amd, No. 141
DOS at the Fermi energy = 5.57 states/eV/cell
energy = -4.295 eV/atom

a = 5.6430 Å, b = 5.6430 Å, c = 5.6430 Å
α = 119.91°, β = 119.91°, γ = 90.15°
Positions (direct):
Ba 0.3750 0.6250 0.7500
Ba 0.6250 0.3750 0.2500
Be 0.0000 0.0000 0.0000
Be 0.0000 0.0000 0.5000
Be 0.0000 0.5000 0.0000
Be 0.5000 0.0000 0.5000
N 0.1250 0.8750 0.2500
N 0.8750 0.1250 0.7500

=====

DFT (PBE) results for Ac4Se3 after structural relaxation.

E_form (uncorrected) = -145 kJ/mol of atoms
total magnetic moment = 0.002 μB/cell
mass density = 7.69 g/cm3
space group = Pm-3m, No. 221
DOS at the Fermi energy = 6.65 states/eV/cell
energy = -5.344 eV/atom

a = 6.2751 Å, b = 6.2751 Å, c = 6.2751 Å
α = 90.00°, β = 90.00°, γ = 90.00°
Positions (direct):
Ac 0.0000 0.0000 0.0000
Ac 0.0000 0.5000 0.5000
Ac 0.5000 0.0000 0.5000
Ac 0.5000 0.5000 0.0000
Se 0.0000 0.0000 0.5000
Se 0.0000 0.5000 0.0000
Se 0.5000 0.0000 0.0000

=====

DFT (PBE) results for MgNbAuBr2 after structural relaxation.

E_form (uncorrected) = 82 kJ/mol of atoms
total magnetic moment = 4.036 μB/cell
mass density = 5.22 g/cm3
space group = P4/mmm, No. 123
DOS at the Fermi energy = 5.46 states/eV/cell
energy = -2.809 eV/atom

a = 5.4574 Å, b = 5.4574 Å, c = 5.0578 Å
α = 90.00°, β = 90.00°, γ = 90.00°
Positions (direct):
Mg 0.0000 0.0000 0.0000
Nb 0.5000 0.5000 0.0000
Au 0.0000 0.0000 0.5000
Br 0.0000 0.5000 0.5000
Br 0.5000 0.0000 0.5000